Entry 1:
Here is a PBEsol-optimized structure of SrNiI3 from the Alexandria database. Energies are from SCAN.

Results
Final energy (eV/atom): -29.84
Volume (A^3/atom): 47.983

abc: 6.214 6.214 6.214
angles: 90.00 90.00 90.00
Positions (direct):
I  0.000  0.500  0.000
I  0.000  0.000  0.500
I  0.500  0.000  0.000
Sr  0.000  0.000  0.000
Ni  0.500  0.500  0.500

Entry 2:
Here is a PBEsol-optimized structure of AsSe2 from the Alexandria database. Energies are from SCAN.

Results
Final energy (eV/atom): -19.72
Volume (A^3/atom): 20.306

abc: 2.759 5.049 5.049
angles: 120.00 90.00 90.00
Positions (direct):
As  0.000  0.000  0.000
Se  0.000  0.667  0.333
Se  0.000  0.333  0.667

Entry 3:
Here is a PBEsol-optimized structure of RbTlI2 from the Alexandria database. Energies are from SCAN.

Results
Final energy (eV/atom): -42.78
Volume (A^3/atom): 37.648

abc: 5.972 5.972 5.972
angles: 60.00 60.00 60.00
Positions (direct):
I  0.250  0.250  0.250
I  0.750  0.750  0.750
Tl  0.500  0.500  0.500
Rb  0.000  0.000  0.000

Entry 4:
Here is a PBEsol-optimized structure of Li2Mn2OF6 from the Alexandria database. Energies are from SCAN.

Results
Final energy (eV/atom): -9.05
ΔE to the lowest computed polymorph (meV per atom): 0
Volume (A^3/atom): 12.194

abc: 5.131 5.131 10.841
angles: 100.60 100.60 100.95
Positions (direct):
Li  0.094  0.429  0.710
Li  0.429  0.094  0.210
Li  0.515  0.115  0.805
Li  0.115  0.515  0.305
Mn  0.416  0.082  0.499
Mn  0.576  0.681  0.940
Mn  0.082  0.416  0.999
Mn  0.681  0.576  0.440
O  0.346  0.350  0.916
O  0.350  0.346  0.416
F  0.339  0.218  0.656
F  0.594  0.834  0.575
F  0.359  0.750  0.794
F  0.218  0.339  0.156
F  0.834  0.594  0.075
F  0.856  0.447  0.842
F  0.820  0.356  0.563
F  0.803  0.021  0.949
F  0.750  0.359  0.294
F  0.447  0.856  0.342
F  0.356  0.820  0.063
F  0.021  0.803  0.449

Question: Which of these has the lowest volume?
Answer: Li2Mn2OF6